Record 1
DFT (PBE) results for Sc2AlSi2Ir5 after structural relaxation.

Unit cell a=9.4129 b=9.4129 c=3.4661 alpha=90.00 beta=90.00 gamma=90.00
Space group P4/mbm (No. 127)
Unique sites:
Sc: 0.1728 0.3272 0.0000 x4
Al: 0.0000 0.0000 0.0000 x2
Si: 0.1274 0.6274 0.0000 x4
Ir: 0.0000 0.5000 0.5000 x2
Ir: 0.0690 0.7937 0.5000 x8

## Properties
E_tot: -8.09 eV/atom
D(E_F): 0.290 states/eV per atom
volume: 307.1 Å³/cell
energy relative to the elements, uncorrected: -0.930 eV per atom


Record 2
DFT (PBE) results for ScAlSnIr2 after structural relaxation.

Unit cell a=4.7719 b=4.7719 c=5.0312 alpha=90.00 beta=90.00 gamma=90.00
Space group P4/mmm (No. 123)
Unique sites:
Sc: 0.0000 0.0000 0.0000 x1
Al: 0.0000 0.0000 0.5000 x1
Sn: 0.5000 0.5000 0.5000 x1
Ir: 0.0000 0.5000 0.0000 x2

## Properties
ΔH_f (0 K): 987.1 meV/atom
E_tot: -5.37 eV/atom
D(E_F): 0.888 states/eV per atom
volume: 114.6 Å³/cell


Record 3
DFT (PBE) results for Sc2TiAl2Ir5 after structural relaxation.

Unit cell a=9.6025 b=9.6025 c=3.4599 alpha=90.00 beta=90.00 gamma=90.00
Space group P4/mbm (No. 127)
Unique sites:
Sc: 0.1719 0.3281 0.0000 x4
Ti: 0.0000 0.0000 0.0000 x2
Al: 0.1268 0.6268 0.0000 x4
Ir: 0.0000 0.5000 0.5000 x2
Ir: 0.0681 0.7989 0.5000 x8

## Properties
ΔH_f (0 K): -842.7 meV/atom
E_tot: -8.08 eV/atom
D(E_F): 0.402 states/eV per atom
volume: 319.0 Å³/cell


Record 4
DFT (PBE) results for ScTiAlIr after structural relaxation.

Unit cell a=6.3613 b=6.3613 c=6.3613 alpha=90.00 beta=90.00 gamma=90.00
Space group F-43m (No. 216)
Unique sites:
Sc: 0.0000 0.0000 0.0000 x4
Ti: 0.2500 0.2500 0.2500 x4
Al: 0.2500 0.2500 0.7500 x4
Ir: 0.0000 0.0000 0.5000 x4

## Properties
ΔH_f (0 K): -635.5 meV/atom
E_tot: -7.34 eV/atom
D(E_F): 0.905 states/eV per atom
volume: 257.4 Å³/cell


Record 5
DFT (PBE) results for TmScAlIr after structural relaxation.

Unit cell a=6.7717 b=6.7717 c=6.7717 alpha=90.00 beta=90.00 gamma=90.00
Space group F-43m (No. 216)
Unique sites:
Tm: 0.0000 0.0000 0.0000 x4
Sc: 0.0000 0.0000 0.5000 x4
Al: 0.2500 0.2500 0.7500 x4
Ir: 0.2500 0.2500 0.2500 x4

## Properties
ΔH_f (0 K): -651.0 meV/atom
E_tot: -6.50 eV/atom
D(E_F): 0.726 states/eV per atom
volume: 310.5 Å³/cell


Record 6
DFT (PBE) results for TmSc2AlIr4 after structural relaxation.

Unit cell a=4.5433 b=4.5433 c=22.3785 alpha=90.00 beta=90.00 gamma=120.00
Space group R-3m (No. 166, hexagonal axes)
Unique sites:
Tm: 0.0000 0.0000 0.0000 x3
Sc: 0.0000 0.0000 0.2463 x6
Al: 0.0000 0.0000 0.5000 x3
Ir: 0.0000 0.0000 0.1280 x6
Ir: 0.0000 0.0000 0.3798 x6

## Properties
ΔH_f (0 K): -932.0 meV/atom
E_tot: -7.97 eV/atom
D(E_F): 0.137 states/eV per atom
volume: 400.0 Å³/cell


Record 7
DFT (PBE) results for ScAlVIr after structural relaxation.

Unit cell a=6.3211 b=6.3211 c=6.3211 alpha=90.00 beta=90.00 gamma=90.00
Space group F-43m (No. 216)
Unique sites:
Sc: 0.0000 0.0000 0.0000 x4
Al: 0.0000 0.0000 0.5000 x4
V: 0.2500 0.2500 0.2500 x4
Ir: 0.2500 0.2500 0.7500 x4

## Properties
ΔH_f (0 K): -533.5 meV/atom
E_tot: -7.55 eV/atom
D(E_F): 1.016 states/eV per atom
volume: 252.6 Å³/cell


Record 8
DFT (PBE) results for Sc5Al2ZnIr2 after structural relaxation.

Unit cell a=10.7918 b=10.7918 c=3.4529 alpha=90.00 beta=90.00 gamma=90.00
Space group P4/mbm (No. 127)
Unique sites:
Sc: 0.0000 0.5000 0.0000 x2
Sc: 0.0757 0.1961 0.0000 x8
Al: 0.1748 0.6748 0.5000 x4
Zn: 0.0000 0.0000 0.5000 x2
Ir: 0.1368 0.3632 0.5000 x4

## Properties
ΔH_f (0 K): -501.4 meV/atom
E_tot: -6.32 eV/atom
D(E_F): 0.669 states/eV per atom
volume: 402.1 Å³/cell


Record 9
DFT (PBE) results for Al2Ir2Se after structural relaxation.

Unit cell a=3.7119 b=3.7119 c=12.1359 alpha=90.00 beta=90.00 gamma=90.00
Space group I4/mmm (No. 139)
Unique sites:
Al: 0.0000 0.5000 0.2500 x4
Ir: 0.0000 0.0000 0.1115 x4
Se: 0.0000 0.0000 0.5000 x2

## Properties
E_tot: -5.97 eV/atom
D(E_F): 0.226 states/eV per atom
volume: 167.2 Å³/cell
energy relative to the elements, uncorrected: -0.227 eV per atom


Record 10
DFT (PBE) results for AlIrSe after structural relaxation.

Unit cell a=5.9828 b=5.9828 c=5.9828 alpha=90.00 beta=90.00 gamma=90.00
Space group F-43m (No. 216)
Unique sites:
Al: 0.0000 0.0000 0.0000 x4
Ir: 0.2500 0.2500 0.7500 x4
Se: 0.2500 0.2500 0.2500 x4

## Properties
E_tot: -5.25 eV/atom
D(E_F): 0.762 states/eV per atom
volume: 214.2 Å³/cell
energy relative to the elements, uncorrected: 0.109 eV per atom


Record 11
DFT (PBE) results for AlIrSe4 after structural relaxation.

Unit cell a=7.8474 b=7.8474 c=7.8474 alpha=90.00 beta=90.00 gamma=90.00
Space group F-43m (No. 216)
Unique sites:
Al: 0.0000 0.0000 0.0000 x4
Ir: 0.2500 0.2500 0.7500 x4
Se: 0.1236 0.1236 0.3764 x16

## Properties
E_tot: -3.38 eV/atom
D(E_F): 0.758 states/eV per atom
volume: 483.3 Å³/cell
energy relative to the elements, uncorrected: 1.045 eV per atom


Record 12
DFT (PBE) results for AlIrSe after structural relaxation.

Unit cell a=3.0910 b=3.7602 c=8.3521 alpha=90.00 beta=90.00 gamma=90.00
Space group Imm2 (No. 44)
Unique sites:
Al: 0.0000 0.0000 0.0000 x2
Ir: 0.0000 0.0000 0.6340 x2
Se: 0.0000 0.0000 0.3238 x2

## Properties
E_tot: -5.37 eV/atom
D(E_F): 0.296 states/eV per atom
volume: 97.1 Å³/cell
energy relative to the elements, uncorrected: -0.012 eV per atom


Record 13
DFT (PBE) results for AlIrSe after structural relaxation.

Unit cell a=5.9983 b=5.9983 c=5.9983 alpha=90.00 beta=90.00 gamma=90.00
Space group F-43m (No. 216)
Unique sites:
Al: 0.0000 0.0000 0.0000 x4
Ir: 0.2500 0.2500 0.2500 x4
Se: 0.0000 0.0000 0.5000 x4

## Properties
E_tot: -5.64 eV/atom
D(E_F): 0.484 states/eV per atom
volume: 215.8 Å³/cell
energy relative to the elements, uncorrected: -0.281 eV per atom


Record 14
DFT (PBE) results for Al2Ir2Se after structural relaxation.

Unit cell a=7.3540 b=7.3540 c=2.8837 alpha=90.00 beta=90.00 gamma=90.00
Space group P4/mbm (No. 127)
Unique sites:
Al: 0.1401 0.3599 0.0000 x4
Ir: 0.1544 0.6544 0.5000 x4
Se: 0.0000 0.0000 0.5000 x2

## Properties
E_tot: -6.20 eV/atom
D(E_F): 0.308 states/eV per atom
volume: 156.0 Å³/cell
energy relative to the elements, uncorrected: -0.466 eV per atom


Record 15
DFT (PBE) results for AlIrSe after structural relaxation.

Unit cell a=3.1619 b=3.1619 c=5.7283 alpha=90.00 beta=90.00 gamma=120.00
Space group P3m1 (No. 156)
Unique sites:
Al: 0.0000 0.0000 0.0000 x1
Ir: 0.6667 0.3333 0.3024 x1
Se: 0.3333 0.6667 0.6540 x1

## Properties
E_tot: -5.45 eV/atom
D(E_F): 0.665 states/eV per atom
volume: 49.6 Å³/cell
energy relative to the elements, uncorrected: -0.085 eV per atom


Record 16
DFT (PBE) results for Al3IrSe after structural relaxation.

Unit cell a=4.7677 b=4.7677 c=4.7677 alpha=90.00 beta=90.00 gamma=90.00
Space group Pm-3m (No. 221)
Unique sites:
Al: 0.0000 0.0000 0.5000 x3
Ir: 0.0000 0.0000 0.0000 x1
Se: 0.5000 0.5000 0.5000 x1

## Properties
E_tot: -4.94 eV/atom
D(E_F): 0.524 states/eV per atom
volume: 108.4 Å³/cell
energy relative to the elements, uncorrected: -0.228 eV per atom


Record 17
DFT (PBE) results for Al3IrSe after structural relaxation.

Unit cell a=4.6987 b=4.6987 c=4.6987 alpha=90.00 beta=90.00 gamma=90.00
Space group Pm-3m (No. 221)
Unique sites:
Al: 0.0000 0.0000 0.5000 x3
Ir: 0.5000 0.5000 0.5000 x1
Se: 0.0000 0.0000 0.0000 x1

## Properties
E_tot: -3.73 eV/atom
D(E_F): 0.312 states/eV per atom
volume: 103.7 Å³/cell
energy relative to the elements, uncorrected: 0.982 eV per atom


Record 18
DFT (PBE) results for AlIr2Se2 after structural relaxation.

Unit cell a=7.6859 b=7.6859 c=2.9402 alpha=90.00 beta=90.00 gamma=90.00
Space group P4/mbm (No. 127)
Unique sites:
Al: 0.0000 0.0000 0.0000 x2
Ir: 0.1828 0.3172 0.5000 x4
Se: 0.1349 0.6349 0.0000 x4

## Properties
E_tot: -5.22 eV/atom
D(E_F): 0.766 states/eV per atom
volume: 173.7 Å³/cell
energy relative to the elements, uncorrected: 0.465 eV per atom


Record 19
DFT (PBE) results for AlIrSe after structural relaxation.

Unit cell a=2.9759 b=2.9759 c=11.0980 alpha=90.00 beta=90.00 gamma=90.00
Space group I4mm (No. 107)
Unique sites:
Al: 0.0000 0.0000 0.0000 x2
Ir: 0.0000 0.0000 0.6315 x2
Se: 0.0000 0.0000 0.3084 x2

## Properties
E_tot: -5.42 eV/atom
D(E_F): 0.586 states/eV per atom
volume: 98.3 Å³/cell
energy relative to the elements, uncorrected: -0.062 eV per atom


Record 20
DFT (PBE) results for Al3Ir2Se6 after structural relaxation.

Unit cell a=11.8243 b=6.5348 c=14.5298 alpha=90.00 beta=108.47 gamma=90.00
Space group C2/c (No. 15)
Unique sites:
Al: 0.0000 0.0675 0.2500 x4
Al: 0.1015 0.4396 0.2423 x8
Ir: 0.0841 0.2510 0.5005 x8
Se: 0.0430 0.0842 0.9083 x8
Se: 0.1218 0.4064 0.0858 x8
Se: 0.2159 0.3972 0.4090 x8

## Properties
E_tot: -4.69 eV/atom
D(E_F): 0.356 states/eV per atom
volume: 1064.9 Å³/cell
energy relative to the elements, uncorrected: -0.162 eV per atom


Record 21
DFT (PBE) results for AlIr2Se2 after structural relaxation.

Unit cell a=3.9991 b=3.9991 c=12.5975 alpha=90.00 beta=90.00 gamma=90.00
Space group I4/mmm (No. 139)
Unique sites:
Al: 0.0000 0.0000 0.0000 x2
Ir: 0.0000 0.5000 0.2500 x4
Se: 0.0000 0.0000 0.3696 x4

## Properties
E_tot: -5.37 eV/atom
D(E_F): 0.949 states/eV per atom
volume: 201.5 Å³/cell
energy relative to the elements, uncorrected: 0.314 eV per atom


Record 22
DFT (PBE) results for AlIrSe after structural relaxation.

Unit cell a=4.3621 b=4.3621 c=2.9181 alpha=90.00 beta=90.00 gamma=120.00
Space group P-6m2 (No. 187)
Unique sites:
Al: 0.0000 0.0000 0.0000 x1
Ir: 0.6667 0.3333 0.5000 x1
Se: 0.3333 0.6667 0.5000 x1

## Properties
E_tot: -5.38 eV/atom
D(E_F): 0.346 states/eV per atom
volume: 48.1 Å³/cell
energy relative to the elements, uncorrected: -0.019 eV per atom


Record 23
DFT (PBE) results for AlSiIr2 after structural relaxation.

Unit cell a=5.5450 b=5.5450 c=10.5168 alpha=90.00 beta=90.00 gamma=90.00
Space group I-42d (No. 122)
Unique sites:
Al: 0.0000 0.0000 0.0000 x4
Si: 0.0000 0.0000 0.5000 x4
Ir: 0.2301 0.2500 0.6250 x8

## Properties
E_tot: -6.64 eV/atom
D(E_F): 0.624 states/eV per atom
volume: 323.4 Å³/cell
energy relative to the elements, uncorrected: 0.083 eV per atom


Record 24
DFT (PBE) results for Al2SiIr after structural relaxation.

Unit cell a=5.1862 b=7.5438 c=2.8996 alpha=90.00 beta=90.17 gamma=90.00
Space group C2/m (No. 12)
Unique sites:
Al: 0.2500 0.2500 0.0000 x4
Si: 0.0000 0.0000 0.5000 x2
Ir: 0.0000 0.5000 0.5000 x2

## Properties
E_tot: -5.81 eV/atom
D(E_F): 0.440 states/eV per atom
volume: 113.4 Å³/cell
energy relative to the elements, uncorrected: -0.369 eV per atom


Record 25
DFT (PBE) results for AlSiIr2 after structural relaxation.

Unit cell a=2.8699 b=4.5736 c=4.2665 alpha=90.00 beta=90.00 gamma=90.00
Space group Pmm2 (No. 25)
Unique sites:
Al: 0.0000 0.0000 0.0000 x1
Si: 0.5000 0.5000 0.2217 x1
Ir: 0.0000 0.5000 0.7316 x1
Ir: 0.5000 0.0000 0.4869 x1

## Properties
E_tot: -7.30 eV/atom
D(E_F): 0.477 states/eV per atom
volume: 56.0 Å³/cell
energy relative to the elements, uncorrected: -0.576 eV per atom